The following is a DFT calculation (PBE) of a relaxed Tc2Os2Au crystal.

## Properties
density = 16.2 g cm⁻³
magnetization = 0.000 μB/atom
uncorrected energy = -9.058 eV/atom

Cell and atoms, written as POSCAR:
```
Tc2Os2Au
1.0
7.576 0.000 0.000
0.000 7.576 0.000
0.000 0.000 2.759
Tc Os Au
4 4 2
direct
0.165 0.335 0.000
0.335 0.835 0.000
0.665 0.165 0.000
0.835 0.665 0.000
0.124 0.624 0.500
0.376 0.124 0.500
0.624 0.876 0.500
0.876 0.376 0.500
0.000 0.000 0.500
0.500 0.500 0.500
```